1.
! NaHfGa | the Open Quantum Materials Database | PBE | relaxed; values from VASP
! Polymorph energy (0 for the lowest one) ... 0 meV per atom
! DFT total energy ... -13.0 eV per cell
! Total moment ... 0.00 Bohr magnetons per cell
&SYSTEM
  ibrav = 0, nat = 3, ntyp = 3
/
ATOMIC_SPECIES
Ga 69.72 Ga.upf
Hf 178.49 Hf.upf
Na 22.99 Na.upf
ATOMIC_POSITIONS crystal
Ga 0.000 0.000 0.000
Hf 0.250 0.250 0.250
Na 0.750 0.750 0.750
CELL_PARAMETERS angstrom
0.000 3.278 3.278
3.278 0.000 3.278
3.278 3.278 0.000


2.
! Na2Hf2Ga2PdPt | the Open Quantum Materials Database | PBE | relaxed; values from VASP
! DFT total energy ... -42.5 eV per cell
! Total moment ... 0.00 Bohr magnetons per cell
&SYSTEM
  ibrav = 0, nat = 8, ntyp = 5
/
ATOMIC_SPECIES
Ga 69.72 Ga.upf
Hf 178.49 Hf.upf
Na 22.99 Na.upf
Pd 106.42 Pd.upf
Pt 195.08 Pt.upf
ATOMIC_POSITIONS crystal
Ga 0.000 0.500 0.248
Ga 0.500 0.000 0.752
Hf 0.500 0.000 0.252
Hf 0.000 0.500 0.748
Na 0.500 0.500 0.000
Na 0.000 0.000 0.500
Pd 0.000 0.000 0.000
Pt 0.500 0.500 0.500
CELL_PARAMETERS angstrom
-1.451 -0.344 -4.340
4.352 -0.201 -1.439
-0.117 -6.469 0.551


3.
! Na2HfZrGa2Pd2 | the Open Quantum Materials Database | PBE | relaxed; values from VASP
! DFT total energy ... -39.6 eV per cell
! Total moment ... 0.00 Bohr magnetons per cell
&SYSTEM
  ibrav = 0, nat = 8, ntyp = 5
/
ATOMIC_SPECIES
Ga 69.72 Ga.upf
Hf 178.49 Hf.upf
Na 22.99 Na.upf
Pd 106.42 Pd.upf
Zr 91.22 Zr.upf
ATOMIC_POSITIONS crystal
Ga 0.500 0.500 0.000
Ga 0.000 0.000 0.500
Hf 0.000 0.000 0.000
Na 0.500 0.000 0.251
Na 0.000 0.500 0.749
Pd 0.000 0.500 0.247
Pd 0.500 0.000 0.753
Zr 0.500 0.500 0.500
CELL_PARAMETERS angstrom
4.612 0.000 0.000
0.000 4.612 0.000
0.000 0.000 6.524


4.
! NaHfGaPt | the Open Quantum Materials Database | PBE | relaxed; values from VASP
! Polymorph energy (0 for the lowest one) ... 108 meV per atom
! DFT total energy ... -21.8 eV per cell
! Total moment ... 0.00 Bohr magnetons per cell
&SYSTEM
  ibrav = 0, nat = 4, ntyp = 4
/
ATOMIC_SPECIES
Ga 69.72 Ga.upf
Hf 178.49 Hf.upf
Na 22.99 Na.upf
Pt 195.08 Pt.upf
ATOMIC_POSITIONS crystal
Ga 0.000 0.000 0.000
Hf 0.250 0.250 0.250
Na 0.750 0.750 0.750
Pt 0.500 0.500 0.500
CELL_PARAMETERS angstrom
0.000 3.308 3.308
3.308 0.000 3.308
3.308 3.308 0.000


5.
! NaHfGaPt | the Open Quantum Materials Database | PBE | relaxed; values from VASP
! Polymorph energy (0 for the lowest one) ... 0 meV per atom
! DFT total energy ... -22.2 eV per cell
! Total moment ... 0.00 Bohr magnetons per cell
&SYSTEM
  ibrav = 0, nat = 4, ntyp = 4
/
ATOMIC_SPECIES
Ga 69.72 Ga.upf
Hf 178.49 Hf.upf
Na 22.99 Na.upf
Pt 195.08 Pt.upf
ATOMIC_POSITIONS crystal
Ga 0.500 0.500 0.500
Hf 0.000 0.000 0.000
Na 0.750 0.750 0.750
Pt 0.250 0.250 0.250
CELL_PARAMETERS angstrom
0.000 3.239 3.239
3.239 0.000 3.239
3.239 3.239 0.000


6.
! Na2HfZrGa2Pt2 | the Open Quantum Materials Database | PBE | relaxed; values from VASP
! DFT total energy ... -43.2 eV per cell
! Total moment ... 0.01 Bohr magnetons per cell
&SYSTEM
  ibrav = 0, nat = 8, ntyp = 5
/
ATOMIC_SPECIES
Ga 69.72 Ga.upf
Hf 178.49 Hf.upf
Na 22.99 Na.upf
Pt 195.08 Pt.upf
Zr 91.22 Zr.upf
ATOMIC_POSITIONS crystal
Ga 0.500 0.500 0.000
Ga 0.000 0.000 0.500
Hf 0.000 0.000 0.000
Na 0.000 0.500 0.250
Na 0.500 0.000 0.750
Pt 0.500 0.000 0.247
Pt 0.000 0.500 0.753
Zr 0.500 0.500 0.500
CELL_PARAMETERS angstrom
-2.571 2.935 2.427
-3.072 0.132 -3.414
-3.184 -4.999 2.672


7.
! NaHfGaSe3 | the Open Quantum Materials Database | PBE | relaxed; values from VASP
! DFT total energy ... -58.7 eV per cell
! Total moment ... 0.05 Bohr magnetons per cell
&SYSTEM
  ibrav = 0, nat = 12, ntyp = 4
/
ATOMIC_SPECIES
Ga 69.72 Ga.upf
Hf 178.49 Hf.upf
Na 22.99 Na.upf
Se 78.96 Se.upf
ATOMIC_POSITIONS crystal
Ga 0.025 0.975 0.250
Ga 0.975 0.025 0.750
Hf 0.500 0.500 0.000
Hf 0.500 0.500 0.500
Na 0.734 0.266 0.250
Na 0.266 0.734 0.750
Se 0.132 0.868 0.047
Se 0.402 0.598 0.250
Se 0.132 0.868 0.453
Se 0.868 0.132 0.547
Se 0.598 0.402 0.750
Se 0.868 0.132 0.953
CELL_PARAMETERS angstrom
1.892 -7.384 0.000
1.892 7.384 0.000
0.000 0.000 9.786


8.
! HfNbGa2 | the Open Quantum Materials Database | PBE | relaxed; values from VASP
! DFT total energy ... -25.4 eV per cell
! Total moment ... 0.54 Bohr magnetons per cell
&SYSTEM
  ibrav = 0, nat = 4, ntyp = 3
/
ATOMIC_SPECIES
Ga 69.72 Ga.upf
Hf 178.49 Hf.upf
Nb 92.91 Nb.upf
ATOMIC_POSITIONS crystal
Ga 0.000 0.000 0.000
Ga 0.750 0.750 0.750
Hf 0.250 0.250 0.250
Nb 0.500 0.500 0.500
CELL_PARAMETERS angstrom
3.008 -0.260 3.557
-1.466 -1.418 4.196
1.313 -4.164 1.645


9.
! Hf2NbGa | the Open Quantum Materials Database | PBE | relaxed; values from VASP
! DFT total energy ... -33.0 eV per cell
! Total moment ... 0.01 Bohr magnetons per cell
&SYSTEM
  ibrav = 0, nat = 4, ntyp = 3
/
ATOMIC_SPECIES
Ga 69.72 Ga.upf
Hf 178.49 Hf.upf
Nb 92.91 Nb.upf
ATOMIC_POSITIONS crystal
Ga 0.500 0.500 0.500
Hf 0.000 0.000 0.000
Hf 0.750 0.750 0.750
Nb 0.250 0.250 0.250
CELL_PARAMETERS angstrom
-2.822 -1.232 3.624
-4.704 0.617 -0.332
-2.871 -3.770 -0.397


10.
! HfNb2Ga | the Open Quantum Materials Database | PBE | relaxed; values from VASP
! DFT total energy ... -33.7 eV per cell
! Total moment ... 0.02 Bohr magnetons per cell
&SYSTEM
  ibrav = 0, nat = 4, ntyp = 3
/
ATOMIC_SPECIES
Ga 69.72 Ga.upf
Hf 178.49 Hf.upf
Nb 92.91 Nb.upf
ATOMIC_POSITIONS crystal
Ga 0.500 0.500 0.500
Hf 0.250 0.250 0.250
Nb 0.000 0.000 0.000
Nb 0.750 0.750 0.750
CELL_PARAMETERS angstrom
-1.209 -4.168 -1.789
-3.842 -2.199 1.561
-3.781 -0.363 -2.758


11.
! Hf3Nb2Ga3 | the Open Quantum Materials Database | PBE | relaxed; values from VASP
! DFT total energy ... -125.7 eV per cell
! Total moment ... 0.01 Bohr magnetons per cell
&SYSTEM
  ibrav = 0, nat = 16, ntyp = 3
/
ATOMIC_SPECIES
Ga 69.72 Ga.upf
Hf 178.49 Hf.upf
Nb 92.91 Nb.upf
ATOMIC_POSITIONS crystal
Ga 0.604 0.000 0.250
Ga 0.000 0.604 0.250
Ga 0.396 0.396 0.250
Ga 0.396 0.000 0.750
Ga 0.000 0.396 0.750
Ga 0.604 0.604 0.750
Hf 0.247 0.000 0.250
Hf 0.000 0.247 0.250
Hf 0.753 0.753 0.250
Hf 0.753 0.000 0.750
Hf 0.000 0.753 0.750
Hf 0.247 0.247 0.750
Nb 0.667 0.333 0.000
Nb 0.333 0.667 0.000
Nb 0.667 0.333 0.500
Nb 0.333 0.667 0.500
CELL_PARAMETERS angstrom
-1.506 -7.025 -3.340
-2.045 1.322 7.540
-4.875 1.826 -1.642


12.
! HfNbGa | the Open Quantum Materials Database | PBE | relaxed; values from VASP
! Polymorph energy (0 for the lowest one) ... 0 meV per atom
! DFT total energy ... -21.0 eV per cell
! Total moment ... 1.79 Bohr magnetons per cell
&SYSTEM
  ibrav = 0, nat = 3, ntyp = 3
/
ATOMIC_SPECIES
Ga 69.72 Ga.upf
Hf 178.49 Hf.upf
Nb 92.91 Nb.upf
ATOMIC_POSITIONS crystal
Ga 0.250 0.250 0.250
Hf 0.750 0.750 0.750
Nb 0.000 0.000 0.000
CELL_PARAMETERS angstrom
0.000 3.235 3.235
3.235 0.000 3.235
3.235 3.235 0.000